Version a
A relaxed Cd2HgSe crystal, computed with PBE. Values from VASP.

Cell and atoms, written as Quantum ESPRESSO input:
```
&SYSTEM
  ibrav = 0, nat = 4, ntyp = 3
/
ATOMIC_SPECIES
Cd 112.41 Cd.upf
Hg 200.59 Hg.upf
Se 78.96 Se.upf
ATOMIC_POSITIONS angstrom
Cd 0.000 0.000 0.000
Cd 2.451 2.451 0.000
Hg 2.451 0.000 1.958
Se 0.000 2.451 1.958
CELL_PARAMETERS angstrom
4.902 0.000 0.000
0.000 4.902 0.000
0.000 0.000 3.915
```

As for the space-group type: No. 123. The crystal system is tetragonal. The value obtained for the total moment is 0.00 Bohr magnetons per cell.


Version b
A relaxed Cd2HgSe crystal, computed with PBE. Values from VASP.

Cell and atoms, written as Quantum ESPRESSO input:
```
&SYSTEM
  ibrav = 0, nat = 4, ntyp = 3
/
ATOMIC_SPECIES
Cd 112.41 Cd.upf
Se 78.96 Se.upf
Hg 200.59 Hg.upf
ATOMIC_POSITIONS angstrom
Cd 0.000 0.000 0.000
Cd 2.259 2.611 1.431
Se 3.453 0.011 1.431
Hg 5.711 2.623 0.000
CELL_PARAMETERS angstrom
6.905 0.023 0.000
4.517 5.223 0.000
-5.711 -2.623 2.861
```

As for the space-group type: No. 119. The crystal system is tetragonal. The value obtained for the total moment is 0.00 Bohr magnetons per cell.


Version c
A relaxed Cd2HgSe crystal, computed with PBE. Values from VASP.

Cell and atoms, written as Quantum ESPRESSO input:
```
&SYSTEM
  ibrav = 0, nat = 4, ntyp = 3
/
ATOMIC_SPECIES
Hg 200.59 Hg.upf
Cd 112.41 Cd.upf
Se 78.96 Se.upf
ATOMIC_POSITIONS angstrom
Hg 2.028 0.000 2.033
Cd 2.028 3.159 0.000
Cd 0.000 0.000 0.000
Se 0.000 3.159 2.033
CELL_PARAMETERS angstrom
4.056 0.000 0.000
0.000 6.318 0.000
0.000 0.000 4.066
```

As for the space-group type: No. 47. The crystal system is orthorhombic. The value obtained for the total moment is 0.00 Bohr magnetons per cell.


version b is preferred energetically. Next in line: 0.007 eV/atom higher.


Version a
A relaxed Cd2HgSe crystal, computed with PBE. Values from VASP.

Cell and atoms, written as Quantum ESPRESSO input:
```
&SYSTEM
  ibrav = 0, nat = 4, ntyp = 3
/
ATOMIC_SPECIES
Hg 200.59 Hg.upf
Se 78.96 Se.upf
Cd 112.41 Cd.upf
ATOMIC_POSITIONS angstrom
Hg 1.194 -1.704 0.873
Se 3.868 -4.576 -0.597
Cd 2.787 -3.979 2.038
Cd 2.276 -2.303 -1.762
CELL_PARAMETERS angstrom
-1.142 -2.407 -3.138
3.301 1.218 -2.136
3.186 -4.549 2.331
```

As for the space-group type: No. 99. The crystal system is tetragonal. The value obtained for the total moment is 0.00 Bohr magnetons per cell.


Version b
A relaxed Cd2HgSe crystal, computed with PBE. Values from VASP.

Cell and atoms, written as Quantum ESPRESSO input:
```
&SYSTEM
  ibrav = 0, nat = 4, ntyp = 3
/
ATOMIC_SPECIES
Cd 112.41 Cd.upf
Hg 200.59 Hg.upf
Se 78.96 Se.upf
ATOMIC_POSITIONS angstrom
Cd -2.500 0.489 1.855
Cd -7.500 1.467 5.565
Hg -5.000 0.978 3.710
Se 0.000 0.000 0.000
CELL_PARAMETERS angstrom
-1.678 2.359 4.255
-4.792 1.867 0.187
-3.531 -2.269 2.978
```

As for the space-group type: No. 225. The crystal system is cubic. The value obtained for the total moment is 0.00 Bohr magnetons per cell.


version a is preferred energetically. Next in line: 0.110 eV/atom higher.


Version a
A relaxed Cd2HgSe crystal, computed with PBE. Values from VASP.

Cell and atoms, written as Quantum ESPRESSO input:
```
&SYSTEM
  ibrav = 0, nat = 4, ntyp = 3
/
ATOMIC_SPECIES
Cd 112.41 Cd.upf
Se 78.96 Se.upf
Hg 200.59 Hg.upf
ATOMIC_POSITIONS angstrom
Cd 0.000 0.000 3.921
Cd 0.000 0.000 7.412
Se 1.258 1.761 5.667
Hg 1.258 1.761 1.889
CELL_PARAMETERS angstrom
3.802 -0.056 0.000
-1.286 3.578 0.000
0.000 0.000 7.556
```

As for the space-group type: No. 65. The crystal system is orthorhombic. The value obtained for the total moment is 0.00 Bohr magnetons per cell.


Version b
A relaxed Cd2HgSe crystal, computed with PBE. Values from VASP.

Cell and atoms, written as Quantum ESPRESSO input:
```
&SYSTEM
  ibrav = 0, nat = 4, ntyp = 3
/
ATOMIC_SPECIES
Se 78.96 Se.upf
Cd 112.41 Cd.upf
Hg 200.59 Hg.upf
ATOMIC_POSITIONS angstrom
Se -4.002 2.677 8.663
Cd -1.594 0.804 2.291
Cd -0.197 1.279 5.500
Hg -3.086 1.643 4.816
CELL_PARAMETERS angstrom
-2.950 2.930 0.850
-3.682 -1.147 1.772
0.428 1.492 6.935
```

As for the space-group type: No. 160. The crystal system is trigonal. The value obtained for the total moment is 0.00 Bohr magnetons per cell.


version b is preferred energetically. Next in line: 0.118 eV/atom higher.


Version a
A relaxed CdHgSe crystal, computed with PBE. Values from VASP.

Cell and atoms, written as Quantum ESPRESSO input:
```
&SYSTEM
  ibrav = 0, nat = 3, ntyp = 3
/
ATOMIC_SPECIES
Cd 112.41 Cd.upf
Hg 200.59 Hg.upf
Se 78.96 Se.upf
ATOMIC_POSITIONS angstrom
Cd 2.426 1.401 0.991
Hg 0.000 0.000 0.000
Se 4.853 2.802 1.981
CELL_PARAMETERS angstrom
4.853 0.000 0.000
2.426 4.202 0.000
2.426 1.401 3.962
```

As for the space-group type: No. 216. The crystal system is cubic. The value obtained for the total moment is 0.00 Bohr magnetons per cell.


Version b
A relaxed CdHgSe crystal, computed with PBE. Values from VASP.

Cell and atoms, written as Quantum ESPRESSO input:
```
&SYSTEM
  ibrav = 0, nat = 3, ntyp = 3
/
ATOMIC_SPECIES
Se 78.96 Se.upf
Cd 112.41 Cd.upf
Hg 200.59 Hg.upf
ATOMIC_POSITIONS angstrom
Se -2.964 -7.486 -0.565
Cd -0.068 -0.170 -0.013
Hg -1.587 -4.008 -0.302
CELL_PARAMETERS angstrom
-4.485 -4.916 -1.170
-0.133 -6.749 0.290
2.136 5.715 2.902
```

As for the space-group type: No. 44. The crystal system is orthorhombic. The value obtained for the total moment is 0.00 Bohr magnetons per cell.


Version c
A relaxed CdHgSe crystal, computed with PBE. Values from VASP.

Cell and atoms, written as Quantum ESPRESSO input:
```
&SYSTEM
  ibrav = 0, nat = 6, ntyp = 3
/
ATOMIC_SPECIES
Se 78.96 Se.upf
Hg 200.59 Hg.upf
Cd 112.41 Cd.upf
ATOMIC_POSITIONS angstrom
Se -0.311 0.745 3.779
Se 2.005 9.220 2.007
Hg -0.670 4.405 2.617
Hg 2.365 5.560 3.169
Cd 0.860 0.470 1.387
Cd 0.835 9.496 4.399
CELL_PARAMETERS angstrom
-3.844 0.343 2.267
3.611 -1.763 1.971
1.928 11.386 1.548
```

As for the space-group type: No. 12. The crystal system is monoclinic. The value obtained for the total moment is 0.00 Bohr magnetons per cell.


Version d
A relaxed CdHgSe crystal, computed with PBE. Values from VASP.

Cell and atoms, written as Quantum ESPRESSO input:
```
&SYSTEM
  ibrav = 0, nat = 3, ntyp = 3
/
ATOMIC_SPECIES
Hg 200.59 Hg.upf
Se 78.96 Se.upf
Cd 112.41 Cd.upf
ATOMIC_POSITIONS angstrom
Hg 1.254 -2.591 1.467
Se 1.193 -0.086 3.755
Cd 2.199 0.625 0.949
CELL_PARAMETERS angstrom
-2.362 1.425 4.536
1.701 -4.986 -0.655
2.654 0.755 1.145
```

As for the space-group type: No. 156. The crystal system is trigonal. The value obtained for the total moment is 0.00 Bohr magnetons per cell.


version c is preferred energetically. Next in line: 0.217 eV/atom higher.